Arrangement 1

Here is Li3Nd after structural relaxation from Alexandria via LeMat-Bulk. Energies are from PBE.

Results
Density of states at the Fermi level, states/eV per atom: 0.691

Lattice parameters (Å, degrees): 3.495 3.495 15.890 90.00 90.00 90.00
Fractional coordinates of all 8 atoms:
Li1 0.500 0.000 0.765
Li2 0.000 0.500 0.662
Li3 0.500 0.000 0.553
Li4 0.000 0.500 0.447
Li5 0.500 0.000 0.338
Li6 0.000 0.500 0.235
Nd1 0.500 0.000 0.083
Nd2 0.000 0.500 0.917

---

Arrangement 2

Here is Li3Nd after structural relaxation from Alexandria via LeMat-Bulk. Energies are from PBE.

Results
Density of states at the Fermi level, states/eV per atom: 0.642

Lattice parameters (Å, degrees): 3.431 5.501 6.070 116.94 106.42 90.00
Fractional coordinates of all 4 atoms:
Nd1 0.000 0.917 0.000
Li1 0.221 0.638 0.443
Li2 0.500 0.417 0.000
Li3 0.779 0.196 0.557

---

Verdict on stability: arrangement 1 comes out on top.

---

Arrangement 1

Here is Li2Nd after structural relaxation from Alexandria via LeMat-Bulk. Energies are from PBE.

Results
Density of states at the Fermi level, states/eV per atom: 1.010

Lattice parameters (Å, degrees): 3.585 3.585 6.314 106.49 106.49 90.00
Fractional coordinates of all 3 atoms:
Nd1 0.000 0.000 0.000
Li1 0.693 0.693 0.387
Li2 0.307 0.307 0.613

---

Arrangement 2

Here is Li2Nd after structural relaxation from Alexandria via LeMat-Bulk. Energies are from PBE.

Results
Density of states at the Fermi level, states/eV per atom: 0.719

Lattice parameters (Å, degrees): 5.970 5.970 5.970 60.00 60.00 60.00
Fractional coordinates of all 6 atoms:
Nd1 0.000 0.000 0.000
Nd2 0.250 0.250 0.250
Li1 0.125 0.625 0.625
Li2 0.625 0.125 0.625
Li3 0.625 0.625 0.625
Li4 0.625 0.625 0.125

---

Verdict on stability: arrangement 2 comes out on top.

---

Arrangement 1

Here is LiNd3 after structural relaxation from Alexandria via LeMat-Bulk. Energies are from PBE.

Results
Density of states at the Fermi level, states/eV per atom: 1.401

Lattice parameters (Å, degrees): 5.662 5.662 5.662 60.00 60.00 60.00
Fractional coordinates of all 4 atoms:
Nd1 0.000 0.000 0.000
Nd2 0.750 0.750 0.750
Nd3 0.250 0.250 0.250
Li1 0.500 0.500 0.500

---

Arrangement 2

Here is LiNd3 after structural relaxation from Alexandria via LeMat-Bulk. Energies are from PBE.

Results
Density of states at the Fermi level, states/eV per atom: 1.601

Lattice parameters (Å, degrees): 5.024 5.024 5.024 90.00 90.00 90.00
Fractional coordinates of all 4 atoms:
Nd1 0.000 0.500 0.500
Nd2 0.500 0.000 0.500
Nd3 0.500 0.500 0.000
Li1 0.000 0.000 0.000

---

Verdict on stability: arrangement 2 comes out on top.

---

Arrangement 1

Here is LiNd3 after structural relaxation from Alexandria via LeMat-Bulk. Energies are from PBE.

Results
Density of states at the Fermi level, states/eV per atom: 1.416

Lattice parameters (Å, degrees): 4.930 4.930 6.250 113.23 113.23 90.00
Fractional coordinates of all 4 atoms:
Nd1 0.750 0.250 0.500
Nd2 0.250 0.750 0.500
Nd3 0.500 0.500 0.000
Li1 0.000 0.000 0.000

---

Arrangement 2

Here is LiNd3 after structural relaxation from Alexandria via LeMat-Bulk. Energies are from PBE.

Results
Density of states at the Fermi level, states/eV per atom: 1.276

Lattice parameters (Å, degrees): 3.480 3.420 11.145 90.00 90.00 90.00
Fractional coordinates of all 4 atoms:
Nd1 0.000 0.500 0.469
Nd2 0.500 0.500 0.190
Nd3 0.500 0.000 0.708
Li1 0.000 0.000 0.966

---

Arrangement 3

Here is LiNd3 after structural relaxation from Alexandria via LeMat-Bulk. Energies are from PBE.

Results
Density of states at the Fermi level, states/eV per atom: 1.266

Lattice parameters (Å, degrees): 3.823 5.724 6.711 115.24 106.55 90.00
Fractional coordinates of all 4 atoms:
Nd1 0.273 0.688 0.546
Nd2 0.500 0.418 0.000
Nd3 0.727 0.142 0.454
Li1 0.000 0.918 0.000

---

Verdict on stability: arrangement 3 comes out on top.

---

Arrangement 1

Here is LiNdNi after structural relaxation from Alexandria via LeMat-Bulk. Energies are from PBE.

Results
Density of states at the Fermi level, states/eV per atom: 0.556

Lattice parameters (Å, degrees): 3.766 4.278 4.278 120.00 90.00 90.00
Fractional coordinates of all 3 atoms:
Ni1 0.166 0.000 0.000
Nd1 0.667 0.333 0.667
Li1 0.167 0.667 0.333

---

Arrangement 2

Here is LiNdNi after structural relaxation from Alexandria via LeMat-Bulk. Energies are from PBE.

Results
Density of states at the Fermi level, states/eV per atom: 0.956

Lattice parameters (Å, degrees): 3.536 3.536 5.390 109.15 109.15 90.00
Fractional coordinates of all 3 atoms:
Ni1 0.623 0.623 0.246
Nd1 0.968 0.968 0.935
Li1 0.259 0.259 0.518

---

Verdict on stability: arrangement 1 comes out on top.

---

Arrangement 1

Here is LiNdNi after structural relaxation from Alexandria via LeMat-Bulk. Energies are from PBE.

Results
Density of states at the Fermi level, states/eV per atom: 0.757

Lattice parameters (Å, degrees): 3.963 5.338 6.528 98.78 107.67 90.00
Fractional coordinates of all 6 atoms:
Ni1 0.766 0.141 0.532
Ni2 0.234 0.859 0.468
Li1 0.595 0.806 0.191
Li2 0.405 0.194 0.809
Nd1 0.865 0.674 0.729
Nd2 0.135 0.326 0.271

---

Arrangement 2

Here is LiNdNi after structural relaxation from Alexandria via LeMat-Bulk. Energies are from PBE.

Results
Density of states at the Fermi level, states/eV per atom: 0.825

Lattice parameters (Å, degrees): 3.851 3.971 8.891 89.99 77.62 90.00
Fractional coordinates of all 6 atoms:
Li1 0.794 0.415 0.685
Li2 0.381 0.915 0.514
Nd1 0.996 0.415 0.285
Nd2 0.179 0.915 0.915
Ni1 0.627 0.415 0.018
Ni2 0.548 0.915 0.181

---

Verdict on stability: arrangement 2 comes out on top.

---

Arrangement 1

Here is LiNd4Rh4O12 after structural relaxation from Alexandria via LeMat-Bulk. Energies are from PBE.

Results
Density of states at the Fermi level, states/eV per atom: 0.201

Lattice parameters (Å, degrees): 7.749 5.759 5.925 86.38 90.00 90.00
Site moments in Bohr magnetons follow the coordinates.
Fractional coordinates of all 21 atoms:
Li1 0.500 0.307 0.086  0.00
Nd1 0.000 0.515 0.571  0.01
Nd2 0.500 0.964 0.897  0.00
Nd3 0.000 0.978 0.074  0.00
Nd4 0.500 0.507 0.467  0.01
Rh1 0.760 0.503 0.004  0.19
Rh2 0.754 0.008 0.494  0.19
Rh3 0.246 0.008 0.494  0.19
Rh4 0.240 0.503 0.004  0.19
O1 0.700 0.181 0.181  0.01
O2 0.805 0.696 0.307  0.03
O3 0.302 0.308 0.704  0.03
O4 0.197 0.821 0.809  0.00
O5 0.803 0.821 0.809  0.00
O6 0.698 0.308 0.704  0.03
O7 0.195 0.696 0.307  0.03
O8 0.300 0.181 0.181  0.01
O9 0.500 0.607 0.067  0.00
O10 0.000 0.133 0.450  0.00
O11 0.500 0.888 0.526  0.00
O12 0.000 0.380 0.958  0.01

---

Arrangement 2

Here is LiNd4Rh4O12 after structural relaxation from Alexandria via LeMat-Bulk. Energies are from PBE.

Results
Density of states at the Fermi level, states/eV per atom: 0.204

Lattice parameters (Å, degrees): 7.662 5.407 6.206 88.59 90.00 90.00
Site moments in Bohr magnetons follow the coordinates.
Fractional coordinates of all 21 atoms:
Li1 0.500 0.075 0.254  0.00
Nd1 0.500 0.550 0.412  0.00
Nd2 0.000 0.028 0.085  0.00
Nd3 0.500 0.951 0.874  0.00
Nd4 0.000 0.467 0.591  0.00
Rh1 0.749 0.495 0.002  0.20
Rh2 0.757 0.004 0.502  0.19
Rh3 0.243 0.004 0.502  0.19
Rh4 0.251 0.495 0.002  0.20
O1 0.803 0.175 0.809  0.03
O2 0.697 0.672 0.691  0.01
O3 0.196 0.329 0.311  0.02
O4 0.310 0.833 0.193  0.03
O5 0.690 0.833 0.193  0.03
O6 0.804 0.329 0.311  0.02
O7 0.303 0.672 0.691  0.01
O8 0.197 0.175 0.809  0.03
O9 0.000 0.627 0.951  0.00
O10 0.500 0.137 0.537  0.00
O11 0.000 0.874 0.452  0.00
O12 0.500 0.352 0.057  0.00

---

Verdict on stability: arrangement 2 comes out on top.

---

Arrangement 1

Here is LiNdS2O8 after structural relaxation from Alexandria via LeMat-Bulk. Energies are from PBE.

Results
Density of states at the Fermi level, states/eV per atom: 0.000

Lattice parameters (Å, degrees): 5.134 5.134 6.823 90.00 90.00 120.00
Fractional coordinates of all 12 atoms:
Li1 0.000 0.000 0.500
Nd1 0.000 0.000 0.000
S1 0.667 0.333 0.221
S2 0.333 0.667 0.779
O1 0.333 0.667 0.001
O2 0.350 0.174 0.287
O3 0.826 0.176 0.287
O4 0.667 0.333 0.999
O5 0.174 0.824 0.713
O6 0.650 0.826 0.713
O7 0.176 0.350 0.713
O8 0.824 0.650 0.287

---

Arrangement 2

Here is LiNdS2O8 after structural relaxation from Alexandria via LeMat-Bulk. Energies are from PBE.

Results
Density of states at the Fermi level, states/eV per atom: 0.000

Lattice parameters (Å, degrees): 7.744 7.744 6.206 90.00 90.00 90.00
Fractional coordinates of all 24 atoms:
Li1 0.500 0.000 0.750
Li2 0.000 0.500 0.250
Nd1 0.500 0.000 0.250
Nd2 0.000 0.500 0.750
S1 0.279 0.221 0.750
S2 0.721 0.779 0.750
S3 0.221 0.721 0.250
S4 0.779 0.279 0.250
O1 0.402 0.172 0.931
O2 0.598 0.828 0.931
O3 0.098 0.672 0.431
O4 0.902 0.328 0.431
O5 0.172 0.598 0.069
O6 0.828 0.402 0.069
O7 0.328 0.098 0.569
O8 0.672 0.902 0.569
O9 0.098 0.199 0.820
O10 0.902 0.801 0.820
O11 0.402 0.699 0.320
O12 0.598 0.301 0.320
O13 0.801 0.098 0.180
O14 0.199 0.902 0.180
O15 0.699 0.598 0.680
O16 0.301 0.402 0.680

---

Verdict on stability: arrangement 1 comes out on top.